(1)
# PBE K2NdScTe4, optimized geometry
# Total energy ... -4.5518 eV/atom
# ΔE_f (raw) ... -1.319 eV per atom
data_K2NdScTe4
_chemical_formula_sum 'K2 Nd1 Sc1 Te4'
_cell_length_a 7.752
_cell_length_b 4.468
_cell_length_c 8.626
_cell_angle_alpha 90.00
_cell_angle_beta 107.37
_cell_angle_gamma 90.00
_symmetry_space_group_name_H-M 'P 1 2/m 1'
_symmetry_Int_Tables_number 10
_symmetry_space_group_name_Hall '-P 2y'
loop_
_atom_site_label
_atom_site_fract_x
_atom_site_fract_y
_atom_site_fract_z
_atom_site_occupancy
K1 0.000 0.000 0.000 1
K2 0.500 0.500 0.000 1
Nd1 0.000 0.500 0.500 1
Sc1 0.500 0.000 0.500 1
Te1 0.254 0.000 0.710 1
Te2 0.282 0.500 0.299 1

(2)
# PBE K3NdSc2Te6, optimized geometry
# Total energy ... -4.5965 eV/atom
# ΔE_f (raw) ... -1.299 eV per atom
data_K3NdSc2Te6
_chemical_formula_sum 'K6 Nd2 Sc4 Te12'
_cell_length_a 7.649
_cell_length_b 13.253
_cell_length_c 8.608
_cell_angle_alpha 90.00
_cell_angle_beta 107.33
_cell_angle_gamma 90.00
_symmetry_space_group_name_H-M 'C 1 2/m 1'
_symmetry_Int_Tables_number 12
_symmetry_space_group_name_Hall '-C 2y'
loop_
_atom_site_label
_atom_site_fract_x
_atom_site_fract_y
_atom_site_fract_z
_atom_site_occupancy
K1 0.000 0.000 0.000 1
K2 0.000 0.339 0.000 1
Nd1 0.000 0.500 0.500 1
Sc1 0.000 0.167 0.500 1
Te1 0.215 0.000 0.702 1
Te2 0.244 0.324 0.704 1

(3)
# PBE K3Nd2ScTe6, optimized geometry
# Total energy ... -4.5198 eV/atom
# ΔE_f (raw) ... -1.352 eV per atom
data_K3Nd2ScTe6
_chemical_formula_sum 'K6 Nd4 Sc2 Te12'
_cell_length_a 7.832
_cell_length_b 13.570
_cell_length_c 8.646
_cell_angle_alpha 90.00
_cell_angle_beta 107.67
_cell_angle_gamma 90.00
_symmetry_space_group_name_H-M 'C 1 2/m 1'
_symmetry_Int_Tables_number 12
_symmetry_space_group_name_Hall '-C 2y'
loop_
_atom_site_label
_atom_site_fract_x
_atom_site_fract_y
_atom_site_fract_z
_atom_site_occupancy
K1 0.000 0.000 0.000 1
K2 0.000 0.328 0.000 1
Nd1 0.000 0.166 0.500 1
Sc1 0.000 0.500 0.500 1
Te1 0.227 0.342 0.708 1
Te2 0.245 0.500 0.290 1

(4)
# PBE KNd6Se8, optimized geometry
# Total energy ... -5.5553 eV/atom
# ΔE_f (raw) ... -1.717 eV per atom
data_KNd6Se8
_chemical_formula_sum 'K1 Nd6 Se8'
_cell_length_a 11.4313
_cell_length_b 11.4313
_cell_length_c 4.3186
_cell_angle_alpha 90.00
_cell_angle_beta 90.00
_cell_angle_gamma 120.00
_symmetry_space_group_name_H-M 'P -3'
_symmetry_Int_Tables_number 147
_symmetry_space_group_name_Hall '-P 3'
loop_
_atom_site_label
_atom_site_fract_x
_atom_site_fract_y
_atom_site_fract_z
_atom_site_occupancy
K1 0.0000 0.0000 0.0000 1
Nd1 0.1380 0.4796 0.2508 1
Se1 0.0457 0.6877 0.2484 1
Se2 0.3333 0.6667 0.7508 1

(5)
# PBE KNdSe, optimized geometry
# Total energy ... -4.0562 eV/atom
# ΔE_f (raw) ... -0.940 eV per atom
data_KNdSe
_chemical_formula_sum 'K4 Nd4 Se4'
_cell_length_a 8.140
_cell_length_b 4.700
_cell_length_c 13.064
_cell_angle_alpha 90.00
_cell_angle_beta 102.11
_cell_angle_gamma 90.00
_symmetry_space_group_name_H-M 'C 1 2/m 1'
_symmetry_Int_Tables_number 12
_symmetry_space_group_name_Hall '-C 2y'
loop_
_atom_site_label
_atom_site_fract_x
_atom_site_fract_y
_atom_site_fract_z
_atom_site_occupancy
K1 0.117 0.000 0.346 1
Nd1 0.137 0.500 0.914 1
Se1 0.224 0.500 0.171 1

(6)
# PBE KNd2Se3, optimized geometry
# Total energy ... -5.2893 eV/atom
# ΔE_f (raw) ... -1.775 eV per atom
data_KNd2Se3
_chemical_formula_sum 'K2 Nd4 Se6'
_cell_length_a 4.2774
_cell_length_b 4.2774
_cell_length_c 22.5610
_cell_angle_alpha 90.00
_cell_angle_beta 90.00
_cell_angle_gamma 120.00
_symmetry_space_group_name_H-M 'P 63/m m c'
_symmetry_Int_Tables_number 194
_symmetry_space_group_name_Hall '-P 6c 2c'
loop_
_atom_site_label
_atom_site_fract_x
_atom_site_fract_y
_atom_site_fract_z
_atom_site_occupancy
K1 0.0000 0.0000 0.2500 1
Nd1 0.3333 0.6667 0.0776 1
Se1 0.0000 0.0000 0.0000 1
Se2 0.3333 0.6667 0.6506 1

(7)
# PBE KNd4Se5, optimized geometry
# Total energy ... -5.5354 eV/atom
# ΔE_f (raw) ... -1.776 eV per atom
data_KNd4Se5
_chemical_formula_sum 'K2 Nd8 Se10'
_cell_length_a 4.262
_cell_length_b 6.037
_cell_length_c 21.673
_cell_angle_alpha 90.00
_cell_angle_beta 90.00
_cell_angle_gamma 90.00
_symmetry_space_group_name_H-M 'I m m m'
_symmetry_Int_Tables_number 71
_symmetry_space_group_name_Hall '-I 2 2'
loop_
_atom_site_label
_atom_site_fract_x
_atom_site_fract_y
_atom_site_fract_z
_atom_site_occupancy
K1 0.000 0.000 0.000 1
Nd1 0.000 0.000 0.206 1
Nd2 0.000 0.000 0.399 1
Se1 0.000 0.500 0.000 1
Se2 0.000 0.500 0.198 1
Se3 0.000 0.500 0.392 1

(8)
# PBE KNd5Se6, optimized geometry
# Total energy ... -5.6055 eV/atom
# ΔE_f (raw) ... -1.785 eV per atom
data_KNd5Se6
_chemical_formula_sum 'K2 Nd10 Se12'
_cell_length_a 7.394
_cell_length_b 12.790
_cell_length_c 7.431
_cell_angle_alpha 90.00
_cell_angle_beta 109.40
_cell_angle_gamma 90.00
_symmetry_space_group_name_H-M 'C 1 2/m 1'
_symmetry_Int_Tables_number 12
_symmetry_space_group_name_Hall '-C 2y'
loop_
_atom_site_label
_atom_site_fract_x
_atom_site_fract_y
_atom_site_fract_z
_atom_site_occupancy
K1 0.000 0.000 0.000 1
Nd1 0.000 0.161 0.500 1
Nd2 0.000 0.334 0.000 1
Nd3 0.000 0.500 0.500 1
Se1 0.243 0.500 0.249 1
Se2 0.244 0.329 0.743 1

(9)
# PBE K3NdSm2Se6, optimized geometry
# Total energy ... -4.9583 eV/atom
# ΔE_f (raw) ... -1.758 eV per atom
data_K3NdSm2Se6
_chemical_formula_sum 'K6 Nd2 Sm4 Se12'
_cell_length_a 7.475
_cell_length_b 12.947
_cell_length_c 8.096
_cell_angle_alpha 90.00
_cell_angle_beta 107.92
_cell_angle_gamma 90.00
_symmetry_space_group_name_H-M 'C 1 2/m 1'
_symmetry_Int_Tables_number 12
_symmetry_space_group_name_Hall '-C 2y'
loop_
_atom_site_label
_atom_site_fract_x
_atom_site_fract_y
_atom_site_fract_z
_atom_site_occupancy
K1 0.000 0.000 0.000 1
K2 0.000 0.334 0.000 1
Nd1 0.000 0.500 0.500 1
Sm1 0.000 0.167 0.500 1
Se1 0.234 0.000 0.710 1
Se2 0.238 0.332 0.710 1

(10)
# PBE K4NdSm3Se8, optimized geometry
# Total energy ... -4.9576 eV/atom
# ΔE_f (raw) ... -1.758 eV per atom
data_K4NdSm3Se8
_chemical_formula_sum 'K12 Nd3 Sm9 Se24'
_cell_length_a 8.6237
_cell_length_b 8.6237
_cell_length_c 23.0995
_cell_angle_alpha 90.00
_cell_angle_beta 90.00
_cell_angle_gamma 120.00
_symmetry_space_group_name_H-M 'R -3 m'
_symmetry_Int_Tables_number 166
_symmetry_space_group_name_Hall '-R 3 2"'
loop_
_atom_site_label
_atom_site_fract_x
_atom_site_fract_y
_atom_site_fract_z
_atom_site_occupancy
K1 0.0000 0.0000 0.0000 1
K2 0.0000 0.5000 0.0000 1
Nd1 0.0000 0.0000 0.5000 1
Sm1 0.0000 0.5000 0.5000 1
Se1 0.0000 0.0000 0.2362 1
Se2 0.0025 0.5013 0.7634 1

(11)
# PBE K2NdSmSe4, optimized geometry
# Total energy ... -4.9590 eV/atom
# ΔE_f (raw) ... -1.757 eV per atom
data_K2NdSmSe4
_chemical_formula_sum 'K2 Nd1 Sm1 Se4'
_cell_length_a 7.490
_cell_length_b 4.325
_cell_length_c 8.096
_cell_angle_alpha 90.00
_cell_angle_beta 107.94
_cell_angle_gamma 90.00
_symmetry_space_group_name_H-M 'P 1 2/m 1'
_symmetry_Int_Tables_number 10
_symmetry_space_group_name_Hall '-P 2y'
loop_
_atom_site_label
_atom_site_fract_x
_atom_site_fract_y
_atom_site_fract_z
_atom_site_occupancy
K1 0.000 0.000 0.000 1
K2 0.500 0.500 0.000 1
Nd1 0.000 0.500 0.500 1
Sm1 0.500 0.000 0.500 1
Se1 0.239 0.000 0.711 1
Se2 0.266 0.500 0.291 1

(12)
# PBE KNd3Sm2Se6, optimized geometry
# Total energy ... -5.5892 eV/atom
# ΔE_f (raw) ... -1.777 eV per atom
data_KNd3Sm2Se6
_chemical_formula_sum 'K2 Nd6 Sm4 Se12'
_cell_length_a 18.553
_cell_length_b 4.221
_cell_length_c 8.601
_cell_angle_alpha 90.00
_cell_angle_beta 103.32
_cell_angle_gamma 90.00
_symmetry_space_group_name_H-M 'C 1 2/m 1'
_symmetry_Int_Tables_number 12
_symmetry_space_group_name_Hall '-C 2y'
loop_
_atom_site_label
_atom_site_fract_x
_atom_site_fract_y
_atom_site_fract_z
_atom_site_occupancy
K1 0.000 0.000 0.000 1
Nd1 0.000 0.000 0.500 1
Nd2 0.162 0.500 0.823 1
Sm1 0.168 0.500 0.343 1
Se1 0.004 0.500 0.262 1
Se2 0.167 0.000 0.581 1
Se3 0.172 0.000 0.088 1